1.
Compound: InSiRu
Source: Alexandria
Functional: PBE
Structure: optimized geometry

Values from the calculation:
E_tot (eV/atom): -5.852
Magnetic moment (Bohr magnetons per cell): 0.00
Energy relative to the elements, uncorrected (eV/atom): -0.040

extended XYZ file:
```
3
Lattice="-1.133 0.922 -2.707 -0.986 -2.625 1.266 -4.571 3.158 2.988" Properties=species:S:1:pos:R:3 pbc="T T T"
In -0.063 0.044 0.041
Ru -2.760 0.898 -0.287
Si -3.867 0.514 1.793
```


2.
Compound: NdNpNiSe4
Source: Alexandria
Functional: PBE
Structure: optimized geometry

Values from the calculation:
E_tot (eV/atom): -6.481
Magnetic moment (Bohr magnetons per cell): 6.38
Energy relative to the elements, uncorrected (eV/atom): -1.134

extended XYZ file:
```
14
Lattice="-6.107 2.519 -2.022 -1.971 -5.483 -0.880 -0.483 -1.127 8.103" Properties=species:S:1:pos:R:3 pbc="T T T"
Ni -3.146 -3.848 1.423
Ni -5.414 -0.244 3.777
Se -6.144 2.152 0.052
Se -2.416 -6.243 5.148
Se -4.406 -0.930 5.793
Se -4.219 -0.357 1.807
Se -4.342 -3.734 3.392
Se -7.100 -0.507 -0.375
Se -4.155 -3.161 -0.593
Se -1.461 -3.585 5.575
Np -6.214 -2.743 1.408
Np -2.346 -1.349 3.792
Nd -6.438 -3.302 5.391
Nd -2.123 -0.790 -0.191
```


3.
Compound: LiCuSN2
Source: Alexandria
Functional: PBE
Structure: optimized geometry

Values from the calculation:
E_tot (eV/atom): -3.683
Distance to the lowest polymorph of the same formula (meV/atom): 528
Magnetic moment (Bohr magnetons per cell): 2.63
Energy relative to the elements, uncorrected (eV/atom): 1.675

extended XYZ file:
```
5
Lattice="3.489 0.000 0.000 0.000 3.489 0.000 0.000 0.000 5.389" Properties=species:S:1:pos:R:3 pbc="T T T"
S 0.000 0.000 2.694
N 1.745 0.000 0.000
N 0.000 1.745 0.000
Cu 1.745 1.745 2.694
Li 0.000 0.000 0.000
```


4.
Compound: Ge3RhF
Source: Alexandria
Functional: PBE
Structure: optimized geometry

Values from the calculation:
E_tot (eV/atom): -4.498
Distance to the lowest polymorph of the same formula (meV/atom): 260
Magnetic moment (Bohr magnetons per cell): 0.00
Energy relative to the elements, uncorrected (eV/atom): 0.117

extended XYZ file:
```
5
Lattice="4.431 0.000 0.000 0.000 4.431 0.000 0.000 0.000 4.431" Properties=species:S:1:pos:R:3 pbc="T T T"
Rh 2.216 2.216 2.216
Ge 0.000 2.216 0.000
Ge 2.216 0.000 0.000
Ge 0.000 0.000 2.216
F 0.000 0.000 0.000
```